Below is a relaxed ErHfOsPd crystal, with properties calculated at the GGA-PBE level.

```
ErHfOsPd
1.0
-0.6463 4.3051 1.8616
-3.8852 0.9198 2.5449
0.3301 0.6290 4.6811
Er Os Pd Hf
1 1 1 1
direct
0.2500 0.2500 0.2500
0.0000 0.0000 0.0000
0.5000 0.5000 0.5000
0.7500 0.7500 0.7500
```

Properties
* total energy: -33.428 eV per cell
* energy of formation: -0.6224 eV/atom
* size of the total moment: 0.00 μB/f.u.
* symmetry: F-43m

=====

Below is a relaxed MnS3Cl crystal, with properties calculated at the GGA-PBE level.

```
MnS3Cl
1.0
4.6279 0.0000 0.0000
0.0000 4.6279 0.0000
0.0000 0.0000 4.6279
Cl S Mn
1 3 1
direct
0.0000 0.0000 0.0000
0.0000 0.0000 0.5000
0.0000 0.5000 0.0000
0.5000 0.0000 0.0000
0.5000 0.5000 0.5000
```

Properties
* total energy: -18.323 eV per cell
* size of the total moment: 4.79 μB/f.u.
* symmetry: Pm-3m
* raw formation energy: 5.08 eV per formula unit

=====

Below is a relaxed SrLi2LaAu2 crystal, with properties calculated at the GGA-PBE level.

```
SrLi2LaAu2
1.0
-2.9967 -0.8154 3.4186
3.1662 -3.1768 -1.1022
5.2003 3.3261 5.3519
Au Sr Li La
2 1 2 1
direct
0.6667 0.3333 0.7716
0.3333 0.6667 0.2284
0.0000 0.0000 0.5000
0.3333 0.6667 0.7580
0.6667 0.3333 0.2420
0.0000 0.0000 0.0000
```

Properties
* total energy: -20.191 eV per cell
* energy of formation: -0.5333 eV/atom
* size of the total moment: 0.00 μB/f.u.
* symmetry: P-3m1

=====

Below is a relaxed Pm3Hg2H crystal, with properties calculated at the GGA-PBE level.

```
Pm3Hg2H
1.0
-4.9294 1.5877 -5.2733
-5.7318 -3.4657 4.3145
2.6331 4.4162 4.0478
H Pm Hg
2 6 4
direct
0.0885 0.2500 0.0000
0.9115 0.7500 0.0000
0.9353 0.5338 0.7219
0.7866 0.0338 0.7219
0.2134 0.9662 0.2781
0.3944 0.2500 0.0000
0.0647 0.4662 0.2781
0.6056 0.7500 0.0000
0.1314 0.8540 0.6549
0.5235 0.3540 0.6549
0.8686 0.1460 0.3451
0.4765 0.6460 0.3451
```

Properties
* total energy: -41.291 eV per cell
* size of the total moment: 0.00 μB/f.u.
* symmetry: C2/c

=====

Below is a relaxed Pm2CdNi3As4 crystal, with properties calculated at the GGA-PBE level.

```
Pm2CdNi3As4
1.0
-2.3386 -1.2018 3.3543
3.4930 0.0187 2.4420
-1.6608 9.6559 2.3018
Ni As Cd Pm
3 4 1 2
direct
0.0000 0.5000 0.1092
0.5000 0.0000 0.8908
0.0000 0.0000 0.5000
0.5000 0.0000 0.6568
0.0000 0.5000 0.3432
0.5000 0.5000 0.0000
0.0000 0.0000 0.0000
0.5000 0.5000 0.5000
0.0000 0.5000 0.7674
0.5000 0.0000 0.2326
```

Properties
* total energy: -53.085 eV per cell
* energy of formation: -0.6726 eV/atom
* size of the total moment: 0.00 μB/f.u.
* symmetry: P-4m2

=====

Below is a relaxed KCr4Rh crystal, with properties calculated at the GGA-PBE level.

```
KCr4Rh
1.0
2.4387 2.0998 3.8029
-1.7724 4.1517 2.1074
-1.9284 -0.1644 4.5906
Cr K Rh
4 1 1
direct
0.3750 0.3750 0.8749
0.8749 0.3750 0.3750
0.3750 0.8749 0.3750
0.3750 0.3750 0.3750
0.7500 0.7500 0.7500
0.0000 0.0000 0.0000
```

Properties
* total energy: -40.706 eV per cell
* energy of formation: 1.0394 eV/atom
* size of the total moment: 0.00 μB/f.u.
* symmetry: F-43m

=====

Below is a relaxed VH2N crystal, with properties calculated at the GGA-PBE level.

```
VH2N
1.0
-2.7860 -0.2151 0.6609
-0.8033 -0.3664 2.7323
-1.3525 3.0032 1.5139
N H V
1 2 1
direct
0.5000 0.5000 0.5000
0.2697 0.2697 0.1908
0.7303 0.7303 0.8092
0.0000 0.0000 0.0000
```

Properties
* total energy: -22.571 eV per cell
* size of the total moment: 0.00 μB/f.u.
* symmetry: R-3m

=====

Below is a relaxed Sb2OsIO crystal, with properties calculated at the GGA-PBE level.

```
Sb2OsIO
1.0
-3.5813 0.1779 -3.5511
-0.1652 -5.0431 -0.0860
-3.8966 0.0606 3.9327
Os Sb I O
1 2 1 1
direct
0.0000 0.0000 0.0000
0.5000 0.0000 0.0000
0.0000 0.5000 0.0000
0.0000 0.0000 0.5000
0.5000 0.5000 0.5000
```

Properties
* total energy: -20.891 eV per cell
* size of the total moment: 0.00 μB/f.u.
* symmetry: P4/mmm
* raw formation energy: 5.09 eV per formula unit

=====

Below is a relaxed EuZnSbAu crystal, with properties calculated at the GGA-PBE level.

```
EuZnSbAu
1.0
-3.5095 -2.5386 2.6796
-2.5008 -3.8952 -2.1249
0.9272 -4.7654 1.5402
Sb Zn Au Eu
1 1 1 1
direct
0.2500 0.2500 0.2500
0.0000 0.0000 0.0000
0.5000 0.5000 0.5000
0.7500 0.7500 0.7500
```

Properties
* total energy: -20.729 eV per cell
* size of the total moment: 6.95 μB/f.u.
* symmetry: F-43m
* raw formation energy: -1.78 eV per formula unit

=====

Below is a relaxed Tm2LuZn crystal, with properties calculated at the GGA-PBE level.

```
Tm2LuZn
1.0
3.3929 0.0000 0.0000
1.6965 2.9383 0.0000
1.6965 0.9794 11.5640
Lu Tm Zn
1 2 1
direct
0.5000 0.5000 0.5000
0.0871 0.0871 0.7388
0.9129 0.9129 0.2612
0.0000 0.0000 0.0000
```

Properties
* total energy: -13.710 eV per cell
* energy of formation: 0.2570 eV/atom
* size of the total moment: 0.00 μB/f.u.
* symmetry: R-3m

=====

Below is a relaxed Sr2MgSe crystal, with properties calculated at the GGA-PBE level.

```
Sr2MgSe
1.0
-0.6296 -1.0818 -4.5037
-3.6278 -2.7153 1.1594
-4.1004 5.1908 -0.6737
Mg Se Sr
1 1 2
direct
0.0000 0.0000 0.3760
0.5000 0.5000 0.8746
0.0000 0.0000 0.8755
0.5000 0.5000 0.3739
```

Properties
* total energy: -11.158 eV per cell
* size of the total moment: 0.77 μB/f.u.
* symmetry: P4mm
* raw formation energy: -2.71 eV per formula unit

=====

Below is a relaxed KSrRh2N crystal, with properties calculated at the GGA-PBE level.

```
KSrRh2N
1.0
5.0955 0.0000 0.0000
0.0000 7.4113 0.0000
0.0000 0.0000 5.0955
K N Rh Sr
1 1 2 1
direct
0.0000 0.5000 0.0000
0.5000 0.5000 0.5000
0.5000 0.0000 0.0000
0.0000 0.0000 0.5000
0.0000 0.0000 0.0000
```

Properties
* total energy: -15.708 eV per cell
* size of the total moment: 3.59 μB/f.u.
* symmetry: P4/mmm
* raw formation energy: 10.10 eV per formula unit

=====

Below is a relaxed MgTaTl2 crystal, with properties calculated at the GGA-PBE level.

```
MgTaTl2
1.0
-5.4539 3.2323 4.5100
-1.5690 -6.9642 3.0938
-1.3900 -1.3640 6.0077
Ta Mg Tl
2 2 4
direct
0.0000 0.0000 0.0000
0.7500 0.2500 0.5000
0.5000 0.5000 0.0000
0.2500 0.7500 0.5000
0.6205 0.1250 0.2500
0.8750 0.8705 0.7500
0.1295 0.6250 0.2500
0.3750 0.3795 0.7500
```

Properties
* total energy: -30.314 eV per cell
* energy of formation: 0.7557 eV/atom
* size of the total moment: 0.00 μB/f.u.
* symmetry: I-42d

=====

Below is a relaxed UTlCdHg crystal, with properties calculated at the GGA-PBE level.

```
UTlCdHg
1.0
5.2148 0.0000 0.0000
2.6074 4.5162 0.0000
2.6074 1.5054 4.2579
Hg U Cd Tl
1 1 1 1
direct
0.7500 0.7500 0.7500
0.5000 0.5000 0.5000
0.0000 0.0000 0.0000
0.2500 0.2500 0.2500
```

Properties
* total energy: -13.948 eV per cell
* energy of formation: 0.2309 eV/atom
* size of the total moment: 2.98 μB/f.u.
* symmetry: F-43m

=====

Below is a relaxed SrFeRe2I crystal, with properties calculated at the GGA-PBE level.

```
SrFeRe2I
1.0
4.9039 0.0000 0.0000
0.0000 5.7725 0.0000
0.0000 0.0000 4.9039
Sr Fe I Re
1 1 1 2
direct
0.0000 0.5000 0.0000
0.5000 0.5000 0.5000
0.0000 0.0000 0.0000
0.0000 0.0000 0.5000
0.5000 0.0000 0.0000
```

Properties
* total energy: -24.706 eV per cell
* size of the total moment: 1.75 μB/f.u.
* symmetry: P4/mmm
* raw formation energy: 11.89 eV per formula unit

=====

Below is a relaxed Mn2SiP crystal, with properties calculated at the GGA-PBE level.

```
Mn2SiP
1.0
-2.6350 -4.4055 -5.2620
-4.3400 -5.0126 -3.1749
-4.8368 -2.8116 -4.7688
P Mn Si
1 2 1
direct
0.4954 0.4954 0.4954
0.9989 0.9989 0.9989
0.7538 0.7538 0.7538
0.2519 0.2519 0.2519
```

Properties
* total energy: -29.156 eV per cell
* size of the total moment: 0.35 μB/f.u.
* symmetry: R3m
* raw formation energy: 0.02 eV per formula unit